VASP calculation (GGA-PBE) on a relaxed Zn2GaAgO4 crystal.

a b c (Å): 4.8978 4.8978 8.7982
angles (deg): 90.00 90.00 90.00
Last column: nearest neighbours and their distance in Å.
Space group I-42m (No. 121)
Asymmetric unit:
Zn 0.0000 0.5000 0.2500  4 O 2.02
Ga 0.0000 0.0000 0.0000  4 O 1.88
Ag 0.0000 0.0000 0.5000  4 O 2.34
O 0.2093 0.2093 0.1352  1 Ga 1.88, 2 Zn 2.02

Summary:
Raw formation energy (eV per atom): -1.268
Raw total energy (eV per atom): -4.8002

---

VASP calculation (GGA-PBE) on a relaxed Ga2AgOs2 crystal.

a b c (Å): 7.4177 7.4177 2.8706
angles (deg): 90.00 90.00 90.00
Last column: nearest neighbours and their distance in Å.
Space group P4/mbm (No. 127)
Asymmetric unit:
Ga 0.1722 0.3278 0.0000  6 Os 2.57-2.65, 2 Ga 2.87
Ag 0.0000 0.0000 0.5000  2 Ag 2.87, 4 Os 2.94, 8 Ga 3.10
Os 0.1242 0.6242 0.5000  6 Ga 2.57-2.65, 3 Os 2.61-2.87

Summary:
Distance to the lowest polymorph of the same formula (meV per atom): 0.0
Calculated formation energy (eV/atom): 0.263
Raw total energy (eV per atom): -6.0098

---

VASP calculation (GGA-PBE) on a relaxed GaAg3Os crystal.

a b c (Å): 4.6992 4.6992 4.6992
angles (deg): 90.00 90.00 90.00
Last column: nearest neighbours and their distance in Å.
Space group Pm-3m (No. 221)
Asymmetric unit:
Ga 0.0000 0.0000 0.0000  6 Ag 2.35
Ag 0.0000 0.0000 0.5000  2 Ga 2.35
Os 0.5000 0.5000 0.5000  12 Ag 3.32

Summary:
Distance to the lowest polymorph of the same formula (meV per atom): 20.8
Calculated formation energy (eV/atom): 1.419
Raw total energy (eV per atom): -3.1435

---

VASP calculation (GGA-PBE) on a relaxed Ga3AgOs crystal.

a b c (Å): 4.8052 4.8052 4.8052
angles (deg): 90.00 90.00 90.00
Last column: nearest neighbours and their distance in Å.
Space group Pm-3m (No. 221)
Asymmetric unit:
Ga 0.0000 0.0000 0.5000  2 Os 2.40
Ag 0.5000 0.5000 0.5000  12 Ga 3.40
Os 0.0000 0.0000 0.0000  6 Ga 2.40

Summary:
Distance to the lowest polymorph of the same formula (meV per atom): 0.0
Calculated formation energy (eV/atom): 0.215
Raw total energy (eV per atom): -4.4177

---

VASP calculation (GGA-PBE) on a relaxed GaAg3Os crystal.

a b c (Å): 5.1303 5.1303 5.1303
angles (deg): 90.00 90.00 90.00
Last column: nearest neighbours and their distance in Å.
Space group Pm-3m (No. 221)
Asymmetric unit:
Ga 0.0000 0.0000 0.0000  12 Ag 3.63
Ag 0.0000 0.5000 0.5000  2 Os 2.57
Os 0.5000 0.5000 0.5000  6 Ag 2.57

Summary:
Distance to the lowest polymorph of the same formula (meV per atom): 0.0
Calculated formation energy (eV/atom): 1.398
Raw total energy (eV per atom): -3.1643

---

VASP calculation (GGA-PBE) on a relaxed GaAgOs2 crystal.

a b c (Å): 7.5160 7.5160 4.8574
angles (deg): 90.00 90.00 90.00
Last column: nearest neighbours and their distance in Å.
Space group I-42d (No. 122)
Asymmetric unit:
Ga 0.0000 0.0000 0.0000  2 Ag 2.43, 4 Os 2.47
Ag 0.0000 0.0000 0.5000  2 Ga 2.43
Os 0.1964 0.2500 0.1250  2 Ga 2.47, 2 Os 2.56

Summary:
Calculated formation energy (eV/atom): 0.928
Raw total energy (eV per atom): -6.1568

---

Q: Look up the raw total energy of the fourth one.
A: -4.4177 eV per atom